1.
A plane-wave DFT calculation with PBE-GGA was carried out for Sc6Ga5Sb after structural relaxation.

Values from the calculation:
As for the formation energy from raw total energies: -6.9 eV per formula unit. Its space group is Cmmm (65).

Unit cell a=9.1414 b=4.4156 c=7.0158 alpha=71.66 beta=81.26 gamma=61.12
Last column: nearest neighbours and their distance in Å.
Sites, in units of the cell vectors:
Sc 0.2591 0.2408 0.0000  6 Ga 2.93-3.14, 2 Sb 3.03, 4 Sc 3.14-3.15
Ga 0.5000 0.8341 0.3318  8 Sc 2.93-2.94, 4 Ga 3.12-3.14
Ga 0.5000 0.5000 0.0000  8 Sc 2.93-2.96, 4 Ga 3.12
Sc 0.7419 0.4260 0.6635  7 Ga 2.92-3.03, 1 Sb 3.05, 4 Sc 3.10-3.15
Sc 0.7409 0.7592 0.0000  6 Ga 2.93-3.14, 2 Sb 3.03, 4 Sc 3.14-3.15
Sc 0.2581 0.9105 0.6635  7 Ga 2.92-3.03, 1 Sb 3.05, 4 Sc 3.10-3.15
Ga 0.0000 0.3227 0.3546  8 Sc 2.92-3.14, 2 Ga 2.94, 2 Sb 3.23
Sc 0.2581 0.5740 0.3365  7 Ga 2.92-3.03, 1 Sb 3.05, 4 Sc 3.10-3.15
Ga 0.5000 0.1659 0.6682  8 Sc 2.93-2.94, 4 Ga 3.12-3.14
Sb 0.0000 0.0000 0.0000  8 Sc 3.03-3.05, 4 Ga 3.23
Sc 0.7419 0.0895 0.3365  7 Ga 2.92-3.03, 1 Sb 3.05, 4 Sc 3.10-3.15
Ga 0.0000 0.6773 0.6454  8 Sc 2.92-3.14, 2 Ga 2.94, 2 Sb 3.23

---

2.
A plane-wave DFT calculation with PBE-GGA was carried out for CdIn2Ag after structural relaxation.

Values from the calculation:
The energy relative to the elements is 0.049 eV per atom. Its space group is Pmmm (47).

Unit cell a=4.4184 b=4.7616 c=4.3864 alpha=90.00 beta=90.00 gamma=90.00
Last column: nearest neighbours and their distance in Å.
Sites, in units of the cell vectors:
Cd 0.0000 0.5000 0.5000  8 In 3.11-3.24, 4 Ag 3.25
In 0.5000 0.5000 0.0000  4 Cd 3.11, 4 Ag 3.24, 4 In 3.25
Ag 0.5000 0.0000 0.5000  8 In 3.11-3.24, 4 Cd 3.25
In 0.0000 0.0000 0.0000  4 Ag 3.11, 4 Cd 3.24, 4 In 3.25

---

Magnetization? In order: 0.0, 0.0 μB/cell.
D(E_F)? In order: 9.57, 1.39 states/eV per cell.